A relaxed structure of LiPrZn10. Source: the Alexandria database, functional PBE.

Computed properties:
Symmetry   Pmmm, No. 47
Energy relative to the elements   -0.18 eV/atom
Size of the total moment   0.000 μB/f.u.

Unit cell a=4.358 b=5.103 c=9.336 alpha=90.00 beta=90.00 gamma=90.00
Atoms (fractional coordinates):
Li 0.000 0.000 0.000
Pr 0.000 0.500 0.500
Zn 0.000 0.000 0.298
Zn 0.000 0.500 0.850
Zn 0.000 0.500 0.150
Zn 0.000 0.000 0.702
Zn 0.500 0.000 0.500
Zn 0.500 0.500 0.000
Zn 0.500 0.256 0.257
Zn 0.500 0.744 0.743
Zn 0.500 0.744 0.257
Zn 0.500 0.256 0.743